1.
Compound: La2Cu2Bi
Source: Alexandria
Functional: GGA-PBE
Structure: optimized geometry

It has space group P4/mbm (No. 127), with a = 8.717 Å, b = 8.717 Å, c = 3.631 Å, α = 90.00°, β = 90.00° and γ = 90.00°. The asymmetric unit holds La at (0.175, 0.325, 0.000), Cu at (0.105, 0.605, 0.500) and Bi at (0.000, 0.000, 0.000).

2.
Compound: La3Cu3Bi4
Source: Alexandria
Functional: GGA-PBE
Structure: optimized geometry

It has space group I-43d (No. 220), with a = 10.121 Å, b = 10.121 Å, c = 10.121 Å, α = 90.00°, β = 90.00° and γ = 90.00°. The asymmetric unit holds La at (0.000, 0.250, 0.375), Cu at (0.000, 0.250, 0.875) and Bi at (0.082, 0.082, 0.082).

3.
Compound: La2CuBi
Source: Alexandria
Functional: GGA-PBE
Structure: optimized geometry

It has space group I-42d (No. 122), with a = 8.199 Å, b = 8.199 Å, c = 7.599 Å, α = 90.00°, β = 90.00° and γ = 90.00°. The asymmetric unit holds La at (0.211, 0.250, 0.125), Cu at (0.000, 0.000, 0.000) and Bi at (0.000, 0.000, 0.500).

4.
Compound: LaCu2Bi2
Source: Alexandria
Functional: GGA-PBE
Structure: optimized geometry

It has space group P4/mbm (No. 127), with a = 7.965 Å, b = 7.965 Å, c = 3.699 Å, α = 90.00°, β = 90.00° and γ = 90.00°. The asymmetric unit holds La at (0.000, 0.000, 0.000), Cu at (0.110, 0.390, 0.000) and Bi at (0.181, 0.681, 0.500).

Density? In order: 7.4, 9.2, 7.2, 9.7 g cm⁻³.
ΔE_f? In order: -0.1634, -0.6633, -0.3245, -0.2251 eV per atom.